No. 1
# Cs2CrSbRu

An optimized crystal structure of Cs2CrSbRu (GGA-PBE, Alexandria).

POSCAR file:
```
Cs2CrSbRu
1.0
-7.309 -1.127 -1.367
-0.575 -1.953 4.680
-1.556 6.856 2.670
Cs Cr Ru Sb
2 1 1 1
direct
0.000 0.000 0.500
0.500 0.000 0.000
0.000 0.500 0.000
0.500 0.500 0.500
0.000 0.000 0.000
```

DFT total energy, eV per atom: -3.732
Magnetic moment, μB per cell: 7.20
Symmetry: No. 123

---

No. 2
# NaV

An optimized crystal structure of NaV (GGA-PBE, Alexandria).

POSCAR file:
```
NaV
1.0
11.113 0.000 0.000
0.000 11.113 0.000
0.000 0.000 2.974
V Na
8 8
direct
0.607 0.275 0.500
0.652 0.446 0.000
0.725 0.607 0.500
0.393 0.725 0.500
0.446 0.348 0.000
0.348 0.554 0.000
0.554 0.652 0.000
0.275 0.393 0.500
0.185 0.883 0.000
0.094 0.609 0.500
0.815 0.117 0.000
0.609 0.906 0.500
0.883 0.815 0.000
0.117 0.185 0.000
0.906 0.391 0.500
0.391 0.094 0.500
```

Calculated formation energy, eV/f.u.: 1.147
E above lowest polymorph, meV per atom: 86
Magnetic moment, μB per cell: 0.00
Symmetry: No. 83

---

No. 3
# K2NaNbF6

An optimized crystal structure of K2NaNbF6 (GGA-PBE, Alexandria).

POSCAR file:
```
K2NaNbF6
1.0
-3.872 -0.661 -4.747
2.214 -0.672 -5.710
-0.463 -5.436 -2.864
F K Na Nb
6 2 1 1
direct
0.759 0.241 0.759
0.759 0.759 0.241
0.241 0.759 0.759
0.241 0.241 0.759
0.241 0.759 0.241
0.759 0.241 0.241
0.250 0.250 0.250
0.750 0.750 0.750
0.500 0.500 0.500
0.000 0.000 0.000
```

DFT total energy, eV per atom: -5.234
Magnetic moment, μB per cell: 2.00
Symmetry: No. 225

---

No. 4
# Cu5Sn3S12

An optimized crystal structure of Cu5Sn3S12 (GGA-PBE, Alexandria).

POSCAR file:
```
Cu5Sn3S12
1.0
-7.561 10.274 -2.285
-1.115 -8.442 -9.769
-3.659 -5.682 11.058
S Cu Sn
48 20 12
direct
0.515 0.334 0.874
0.166 0.040 0.681
0.985 0.626 0.166
0.359 0.985 0.819
0.126 0.166 0.485
0.485 0.819 0.859
0.874 0.040 0.859
0.319 0.859 0.985
0.626 0.985 0.666
0.819 0.334 0.960
0.641 0.626 0.960
0.540 0.681 0.666
0.141 0.460 0.126
0.681 0.141 0.015
0.985 0.359 0.319
0.540 0.859 0.374
0.859 0.540 0.874
0.859 0.319 0.485
0.874 0.834 0.515
0.515 0.181 0.141
0.626 0.641 0.460
0.666 0.485 0.626
0.460 0.319 0.334
0.485 0.666 0.126
0.819 0.485 0.359
0.015 0.641 0.681
0.960 0.834 0.819
0.460 0.141 0.626
0.374 0.015 0.334
0.960 0.126 0.641
0.015 0.374 0.834
0.141 0.681 0.515
0.374 0.359 0.540
0.834 0.960 0.319
0.681 0.540 0.166
0.334 0.515 0.374
0.334 0.819 0.460
0.166 0.126 0.985
0.126 0.960 0.141
0.181 0.666 0.040
0.181 0.515 0.641
0.040 0.166 0.181
0.319 0.460 0.834
0.359 0.374 0.040
0.040 0.874 0.359
0.666 0.181 0.540
0.641 0.015 0.181
0.834 0.874 0.015
0.500 0.500 0.000
0.875 0.625 0.750
0.375 0.250 0.125
0.000 0.500 0.500
0.250 0.375 0.625
0.375 0.125 0.750
0.250 0.875 0.125
0.000 0.000 0.000
0.500 0.000 0.500
0.125 0.375 0.250
0.000 0.000 0.500
0.500 0.500 0.500
0.000 0.500 0.000
0.500 0.000 0.000
0.750 0.125 0.875
0.625 0.875 0.250
0.875 0.250 0.625
0.625 0.750 0.875
0.750 0.625 0.375
0.125 0.750 0.375
0.375 0.625 0.250
0.625 0.250 0.375
0.375 0.750 0.625
0.250 0.625 0.875
0.750 0.375 0.125
0.125 0.875 0.750
0.750 0.875 0.625
0.875 0.125 0.250
0.875 0.750 0.125
0.125 0.250 0.875
0.625 0.375 0.750
0.250 0.125 0.375
```

DFT total energy, eV per atom: -4.134
Magnetic moment, μB per cell: 0.00
Symmetry: No. 230

---

No. 5
# NaZnTc2O8

An optimized crystal structure of NaZnTc2O8 (GGA-PBE, Alexandria).

POSCAR file:
```
NaZnTc2O8
1.0
6.005 0.310 0.000
-2.386 5.520 0.000
-1.810 -2.915 4.938
Zn Tc O Na
1 2 8 1
direct
0.250 0.750 0.500
0.500 0.500 0.000
0.750 0.250 0.500
0.795 0.097 0.698
0.399 0.097 0.302
0.348 0.557 0.209
0.443 0.652 0.791
0.903 0.601 0.698
0.348 0.139 0.791
0.903 0.205 0.302
0.861 0.652 0.209
0.000 0.000 0.000
```

DFT total energy, eV per atom: -6.593
Magnetic moment, μB per cell: 1.05
Symmetry: No. 119

---

No. 6
# AcAl2Zn4Ag

An optimized crystal structure of AcAl2Zn4Ag (GGA-PBE, Alexandria).

POSCAR file:
```
AcAl2Zn4Ag
1.0
-1.866 3.800 1.268
-3.966 -0.028 1.949
2.173 0.486 9.441
Al Ag Ac Zn
2 1 1 4
direct
0.242 0.242 0.275
0.758 0.758 0.725
0.500 0.500 0.500
0.000 0.000 0.000
0.595 0.595 0.214
0.872 0.872 0.384
0.405 0.405 0.786
0.128 0.128 0.616
```

Calculated formation energy, eV/f.u.: -1.152
Magnetic moment, μB per cell: 0.00
Symmetry: No. 166

---

No. 7
# Tb8Cd2Sn

An optimized crystal structure of Tb8Cd2Sn (GGA-PBE, Alexandria).

POSCAR file:
```
Tb8Cd2Sn
1.0
-2.191 1.870 -4.680
-2.541 -8.172 -0.189
-3.622 5.272 5.689
Tb Cd Sn
8 2 1
direct
0.113 0.316 0.091
0.887 0.684 0.909
0.500 0.222 0.778
0.113 0.091 0.316
0.887 0.909 0.684
0.500 0.778 0.222
0.300 0.602 0.602
0.700 0.398 0.398
0.000 0.693 0.307
0.000 0.307 0.693
0.500 0.000 0.000
```

Calculated formation energy, eV/f.u.: -1.300
Magnetic moment, μB per cell: 0.00
Symmetry: No. 12

---

No. 8
# YPd2PtAu

An optimized crystal structure of YPd2PtAu (GGA-PBE, Alexandria).

POSCAR file:
```
YPd2PtAu
1.0
-0.302 -4.257 0.494
2.170 0.593 6.439
-6.439 0.546 0.775
Pt Pd Au Y
2 4 2 2
direct
0.750 0.787 0.129
0.250 0.213 0.871
0.250 0.370 0.522
0.250 0.539 0.172
0.750 0.461 0.828
0.750 0.630 0.478
0.750 0.058 0.631
0.250 0.942 0.369
0.750 0.217 0.184
0.250 0.783 0.816
```

Calculated formation energy, eV/f.u.: -3.146
Magnetic moment, μB per cell: 0.00
Symmetry: No. 11

---

No. 9
# Tb2SmTl3S6

An optimized crystal structure of Tb2SmTl3S6 (GGA-PBE, Alexandria).

POSCAR file:
```
Tb2SmTl3S6
1.0
7.060 0.000 0.000
-3.529 6.115 0.000
-1.178 -2.039 7.514
Tl S Tb Sm
3 6 2 1
direct
0.166 0.834 0.500
0.500 0.500 0.500
0.834 0.166 0.500
0.067 0.404 0.200
0.729 0.729 0.199
0.596 0.933 0.800
0.271 0.271 0.801
0.933 0.596 0.800
0.404 0.067 0.200
0.667 0.333 0.000
0.333 0.667 0.000
0.000 0.000 0.000
```

DFT total energy, eV per atom: -5.302
Magnetic moment, μB per cell: 0.00
Symmetry: No. 12

---

No. 10
# ZrReN2

An optimized crystal structure of ZrReN2 (GGA-PBE, Alexandria).

POSCAR file:
```
ZrReN2
1.0
1.847 0.000 6.203
-0.923 1.599 6.203
-0.923 -1.599 6.203
Zr N Re
1 2 1
direct
0.500 0.500 0.500
0.898 0.898 0.898
0.102 0.102 0.102
0.000 0.000 0.000
```

E above lowest polymorph, meV per atom: 79
Magnetic moment, μB per cell: 0.00
Symmetry: No. 166

---

No. 11
# TbDy2Sn

An optimized crystal structure of TbDy2Sn (GGA-PBE, Alexandria).

POSCAR file:
```
TbDy2Sn
1.0
-2.921 -0.064 -3.596
2.246 -3.608 -1.761
-7.913 -5.177 6.519
Sn Dy Tb
2 4 2
direct
0.750 0.834 0.666
0.250 0.166 0.334
0.750 0.439 0.878
0.750 0.064 0.127
0.250 0.936 0.873
0.250 0.561 0.122
0.250 0.308 0.614
0.750 0.692 0.386
```

Calculated formation energy, eV/f.u.: -1.581
E above lowest polymorph, meV per atom: 27
Magnetic moment, μB per cell: 0.00
Symmetry: No. 11

---

Calculated volume? In order: 289; 367; 165; 1676; 167; 158; 329; 187; 324; 55; 240 Å³ per cell.